[1]
# TePH3

An optimized crystal structure of TePH3 (GGA-PBE, the Alexandria database).

abc: 3.7076 3.7076 3.7076
angles: 90.00 90.00 90.00
Positions (direct):
P 0.0000 0.0000 0.0000
Te 0.5000 0.5000 0.5000
H 0.0000 0.5000 0.0000
H 0.0000 0.0000 0.5000
H 0.5000 0.0000 0.0000

Values from the calculation:
**Raw total energy**: -14.805 eV per cell
**Space group**: Pm-3m
**Fermi-level density of states**: 2.5 states/eV per cell


[2]
# NpTl2InI8

An optimized crystal structure of NpTl2InI8 (GGA-PBE, the Alexandria database).

abc: 8.1084 7.4270 9.3120
angles: 89.83 89.73 91.69
Positions (direct):
Np 0.0000 0.0000 0.0000
Tl 0.4990 0.4989 0.7429
Tl 0.5010 0.5011 0.2571
In 0.0000 0.0000 0.5000
I 0.1365 0.7699 0.2487
I 0.6812 0.7735 0.9975
I 0.8663 0.2321 0.2488
I 0.8635 0.2301 0.7513
I 0.3188 0.2265 0.0025
I 0.1337 0.7679 0.7512
I 0.6960 0.7842 0.4993
I 0.3040 0.2158 0.5007

Values from the calculation:
**Raw total energy**: -40.361 eV per cell
**Space group**: P-1
**Fermi-level density of states**: 7.3 states/eV per cell
**Raw formation energy**: -629 meV per atom


[3]
# Sr2TaHgO

An optimized crystal structure of Sr2TaHgO (GGA-PBE, the Alexandria database).

abc: 6.4385 3.9154 6.4385
angles: 90.00 90.00 90.00
Positions (direct):
Sr 0.0000 0.0000 0.5000
Sr 0.5000 0.0000 0.0000
Hg 0.5000 0.5000 0.5000
O 0.0000 0.5000 0.0000
Ta 0.0000 0.0000 0.0000

Values from the calculation:
**Raw total energy**: -22.001 eV per cell
**Space group**: P4/mmm
**Fermi-level density of states**: 3.1 states/eV per cell
**Raw formation energy**: -305 meV per atom


[4]
# Nd3Dy12Y

An optimized crystal structure of Nd3Dy12Y (GGA-PBE, the Alexandria database).

abc: 5.0500 5.0500 20.1990
angles: 90.00 90.00 90.00
Positions (direct):
Nd 0.0000 0.0000 0.2495
Nd 0.0000 0.0000 0.5000
Nd 0.0000 0.0000 0.7505
Dy 0.5000 0.5000 0.0000
Dy 0.5000 0.5000 0.2490
Dy 0.5000 0.5000 0.5000
Dy 0.5000 0.5000 0.7510
Dy 0.5000 0.0000 0.1240
Dy 0.5000 0.0000 0.3745
Dy 0.5000 0.0000 0.6255
Dy 0.5000 0.0000 0.8760
Dy 0.0000 0.5000 0.1240
Dy 0.0000 0.5000 0.3745
Dy 0.0000 0.5000 0.6255
Dy 0.0000 0.5000 0.8760
Y 0.0000 0.0000 0.0000

Values from the calculation:
**Raw total energy**: -75.674 eV per cell
**Energy of formation from the pure elements**: 1.92 kJ per mole of atoms
**Space group**: P4/mmm
**Fermi-level density of states**: 22.0 states/eV per cell


[5]
# Y2Ga2Rh

An optimized crystal structure of Y2Ga2Rh (GGA-PBE, the Alexandria database).

abc: 6.9975 6.9975 4.2434
angles: 90.00 90.00 90.00
Positions (direct):
Y 0.1753 0.6753 0.5000
Y 0.6753 0.8247 0.5000
Y 0.8247 0.3247 0.5000
Y 0.3247 0.1753 0.5000
Rh 0.0000 0.0000 0.0000
Rh 0.5000 0.5000 0.0000
Ga 0.3695 0.8695 0.0000
Ga 0.8695 0.6305 0.0000
Ga 0.6305 0.1305 0.0000
Ga 0.1305 0.3695 0.0000

Values from the calculation:
**Raw total energy**: -59.672 eV per cell
**Energy of formation from the pure elements**: -67.59 kJ per mole of atoms
**Space group**: P4/mbm
**Fermi-level density of states**: 6.7 states/eV per cell


[6]
# RbFe3Os

An optimized crystal structure of RbFe3Os (GGA-PBE, the Alexandria database).

abc: 4.8300 4.8300 4.8300
angles: 90.00 90.00 90.00
Positions (direct):
Os 0.0000 0.0000 0.0000
Fe 0.0000 0.5000 0.0000
Fe 0.0000 0.0000 0.5000
Fe 0.5000 0.0000 0.0000
Rb 0.5000 0.5000 0.5000

Values from the calculation:
**Raw total energy**: -30.969 eV per cell
**Energy of formation from the pure elements**: 127.67 kJ per mole of atoms
**Space group**: Pm-3m
**Fermi-level density of states**: 7.7 states/eV per cell


[7]
# CaGaBiO5

An optimized crystal structure of CaGaBiO5 (GGA-PBE, the Alexandria database).

abc: 5.8713 5.8713 7.6859
angles: 104.44 104.44 106.98
Positions (direct):
Ca 0.3393 0.6607 0.2500
Ca 0.6607 0.3393 0.7500
Ga 0.6862 0.3138 0.2500
Ga 0.3138 0.6862 0.7500
Bi 0.0000 0.0000 0.5000
Bi 0.0000 0.0000 0.0000
O 0.0947 0.9053 0.2500
O 0.9053 0.0947 0.7500
O 0.9145 0.3251 0.1193
O 0.0855 0.6749 0.8807
O 0.6749 0.0855 0.3807
O 0.3251 0.9145 0.6193
O 0.7304 0.6254 0.4221
O 0.2696 0.3746 0.5779
O 0.3746 0.2696 0.0779
O 0.6254 0.7304 0.9221

Values from the calculation:
**Raw total energy**: -95.347 eV per cell
**Space group**: C2/c
**Raw formation energy**: -1747 meV per atom


[8]
# TlCd2W

An optimized crystal structure of TlCd2W (GGA-PBE, the Alexandria database).

abc: 2.9557 2.9557 9.9334
angles: 90.00 90.00 89.68
Positions (direct):
Tl 0.5000 0.5000 0.2500
W 0.5000 0.5000 0.7500
Cd 0.0000 0.0000 0.9655
Cd 0.0000 0.0000 0.5345

Values from the calculation:
**Raw total energy**: -15.014 eV per cell
**Energy of formation from the pure elements**: 51.52 kJ per mole of atoms
**Space group**: Cmmm
**Fermi-level density of states**: 2.8 states/eV per cell